A geometry-optimized PmV2PtO8 structure, computed with GGA+U.

Cell: 5.6396 5.6396 6.5808 Å, 90.00 90.00 120.00°
Space group P-3m1 (No. 164)
One atom of each set of equivalent atoms:
Pm  0.0000  0.0000  0.0000
V  0.3333  0.6667  0.2212
Pt  0.0000  0.0000  0.5000
O  0.1571  0.3143  0.2874
O  0.3333  0.6667  0.9671

Properties
Crystal system: trigonal
E: -86.70 eV for the cell shown
Density of states at the Fermi level: 5.9 states/eV/cell
M_tot: 1.02 μB/cell
Volume: 181.3 Å³ per cell